First-principles (PBE-GGA) data for crystalline RbCo3Sn at its relaxed geometry, as listed in the Alexandria database.

Properties
The total energy is -14.9 eV/cell. For the energy relative to the lowest polymorph listed for this composition, the calculation gives 1.129 eV per atom. The spin magnetization comes out at 3.670 μB/cell. For the formation energy, the calculation gives 2286 meV per atom.

a = 4.6709 Å, b = 4.6709 Å, c = 4.6709 Å
α = 90.00°, β = 90.00°, γ = 90.00°
With the nearest neighbours (Å) after each atom.
Positions (direct):
Co 0.0000 0.5000 0.0000  2 Rb 2.34
Co 0.0000 0.0000 0.5000  2 Rb 2.34
Co 0.5000 0.0000 0.0000  2 Rb 2.34
Sn 0.5000 0.5000 0.5000  12 Co 3.30
Rb 0.0000 0.0000 0.0000  6 Co 2.34